1.
First-principles (PBE) data for AcHo2Lu after structural relaxation, as listed in the Alexandria database.

Unit cell a=5.093 b=5.093 c=5.195 alpha=90.00 beta=90.00 gamma=90.00
Space group P4/mmm (No. 123)
Unique sites:
Ac  0.000  0.000  0.000 (multiplicity 1)
Ho  0.000  0.500  0.500 (multiplicity 2)
Lu  0.500  0.500  0.000 (multiplicity 1)

Summary:
- electronic total energy (eV/atom) = -4.373
- offset from the most stable computed form (eV per formula unit) = 0.000
- formation enthalpy at 0 K (kJ/mol of formula units) = 28


2.
First-principles (PBE) data for AcHoLu2 after structural relaxation, as listed in the Alexandria database.

Unit cell a=8.123 b=8.123 c=8.123 alpha=90.00 beta=90.00 gamma=90.00
Space group Fm-3m (No. 225)
Unique sites:
Ac  0.000  0.000  0.000 (multiplicity 4)
Ho  0.000  0.000  0.500 (multiplicity 4)
Lu  0.250  0.250  0.250 (multiplicity 8)

Summary:
- electronic total energy (eV/atom) = -4.323
- offset from the most stable computed form (eV per formula unit) = 0.112
- formation enthalpy at 0 K (kJ/mol of formula units) = 42


3.
First-principles (PBE) data for AcHo2Lu after structural relaxation, as listed in the Alexandria database.

Unit cell a=8.160 b=8.160 c=8.160 alpha=90.00 beta=90.00 gamma=90.00
Space group Fm-3m (No. 225)
Unique sites:
Ac  0.000  0.000  0.000 (multiplicity 4)
Ho  0.250  0.250  0.250 (multiplicity 8)
Lu  0.000  0.000  0.500 (multiplicity 4)

Summary:
- electronic total energy (eV/atom) = -4.294
- offset from the most stable computed form (eV per formula unit) = 0.318
- formation enthalpy at 0 K (kJ/mol of formula units) = 59


4.
First-principles (PBE) data for AcHoLuPb after structural relaxation, as listed in the Alexandria database.

Unit cell a=7.885 b=7.885 c=7.885 alpha=90.00 beta=90.00 gamma=90.00
Space group F-43m (No. 216)
Unique sites:
Ac  0.000  0.000  0.000 (multiplicity 4)
Ho  0.250  0.250  0.250 (multiplicity 4)
Lu  0.250  0.250  0.750 (multiplicity 4)
Pb  0.000  0.000  0.500 (multiplicity 4)

Summary:
- electronic total energy (eV/atom) = -4.228
- formation enthalpy at 0 K (kJ/mol of formula units) = 0


5.
First-principles (PBE) data for AcPmHoLu after structural relaxation, as listed in the Alexandria database.

Unit cell a=8.238 b=8.238 c=8.238 alpha=90.00 beta=90.00 gamma=90.00
Space group F-43m (No. 216)
Unique sites:
Ac  0.000  0.000  0.000 (multiplicity 4)
Pm  0.000  0.000  0.500 (multiplicity 4)
Ho  0.250  0.250  0.250 (multiplicity 4)
Lu  0.250  0.250  0.750 (multiplicity 4)

Summary:
- electronic total energy (eV/atom) = -4.385
- formation enthalpy at 0 K (kJ/mol of formula units) = 40


6.
First-principles (PBE) data for AcSmHoLu after structural relaxation, as listed in the Alexandria database.

Unit cell a=8.226 b=8.226 c=8.226 alpha=90.00 beta=90.00 gamma=90.00
Space group F-43m (No. 216)
Unique sites:
Ac  0.000  0.000  0.000 (multiplicity 4)
Sm  0.000  0.000  0.500 (multiplicity 4)
Ho  0.250  0.250  0.250 (multiplicity 4)
Lu  0.250  0.250  0.750 (multiplicity 4)

Summary:
- electronic total energy (eV/atom) = -4.374
- formation enthalpy at 0 K (kJ/mol of formula units) = 42


7.
First-principles (PBE) data for AcHoLuSn after structural relaxation, as listed in the Alexandria database.

Unit cell a=7.790 b=7.790 c=7.790 alpha=90.00 beta=90.00 gamma=90.00
Space group F-43m (No. 216)
Unique sites:
Ac  0.000  0.000  0.000 (multiplicity 4)
Ho  0.250  0.250  0.250 (multiplicity 4)
Lu  0.250  0.250  0.750 (multiplicity 4)
Sn  0.000  0.000  0.500 (multiplicity 4)

Summary:
- electronic total energy (eV/atom) = -4.416
- formation enthalpy at 0 K (kJ/mol of formula units) = -44


8.
First-principles (PBE) data for AcHoLuTl after structural relaxation, as listed in the Alexandria database.

Unit cell a=7.912 b=7.912 c=7.912 alpha=90.00 beta=90.00 gamma=90.00
Space group F-43m (No. 216)
Unique sites:
Ac  0.000  0.000  0.000 (multiplicity 4)
Ho  0.250  0.250  0.750 (multiplicity 4)
Lu  0.250  0.250  0.250 (multiplicity 4)
Tl  0.000  0.000  0.500 (multiplicity 4)

Summary:
- electronic total energy (eV/atom) = -3.797
- formation enthalpy at 0 K (kJ/mol of formula units) = 37


9.
First-principles (PBE) data for AcHoTmLu after structural relaxation, as listed in the Alexandria database.

Unit cell a=8.143 b=8.143 c=8.143 alpha=90.00 beta=90.00 gamma=90.00
Space group F-43m (No. 216)
Unique sites:
Ac  0.000  0.000  0.000 (multiplicity 4)
Ho  0.000  0.000  0.500 (multiplicity 4)
Tm  0.250  0.250  0.250 (multiplicity 4)
Lu  0.250  0.250  0.750 (multiplicity 4)

Summary:
- electronic total energy (eV/atom) = -4.305
- formation enthalpy at 0 K (kJ/mol of formula units) = 44


10.
First-principles (PBE) data for AcYHoLu after structural relaxation, as listed in the Alexandria database.

Unit cell a=8.190 b=8.190 c=8.190 alpha=90.00 beta=90.00 gamma=90.00
Space group F-43m (No. 216)
Unique sites:
Ac  0.000  0.000  0.000 (multiplicity 4)
Y  0.250  0.250  0.250 (multiplicity 4)
Ho  0.250  0.250  0.750 (multiplicity 4)
Lu  0.000  0.000  0.500 (multiplicity 4)

Summary:
- electronic total energy (eV/atom) = -4.773
- formation enthalpy at 0 K (kJ/mol of formula units) = 56


11.
First-principles (PBE) data for AcHoMg after structural relaxation, as listed in the Alexandria database.

Unit cell a=5.6468 b=5.6468 c=3.6421 alpha=90.00 beta=90.00 gamma=120.00
Space group P3m1 (No. 156)
Unique sites:
Ac  0.0000  0.0000  0.0000 (multiplicity 1)
Ho  0.6667  0.3333  0.4753 (multiplicity 1)
Mg  0.3333  0.6667  0.5532 (multiplicity 1)

Summary:
- electronic total energy (eV/atom) = -3.351
- offset from the most stable computed form (eV per formula unit) = 0.259
- formation enthalpy at 0 K (kJ/mol of formula units) = 22


12.
First-principles (PBE) data for AcHoMg2 after structural relaxation, as listed in the Alexandria database.

Unit cell a=3.6635 b=3.6635 c=33.1159 alpha=90.00 beta=90.00 gamma=120.00
Space group R-3m (No. 166, hexagonal axes)
Unique sites:
Ac  0.0000  0.0000  0.0000 (multiplicity 3)
Ho  0.0000  0.0000  0.5000 (multiplicity 3)
Mg  0.0000  0.0000  0.2448 (multiplicity 6)

Summary:
- electronic total energy (eV/atom) = -2.878
- formation enthalpy at 0 K (kJ/mol of formula units) = 35


13.
First-principles (PBE) data for AcHoMg after structural relaxation, as listed in the Alexandria database.

Unit cell a=4.829 b=4.829 c=8.948 alpha=90.00 beta=90.00 gamma=90.00
Space group P4/nmm (No. 129, origin choice 2)
Unique sites:
Ac  0.250  0.250  0.151 (multiplicity 2)
Ho  0.250  0.250  0.732 (multiplicity 2)
Mg  0.250  0.750  0.500 (multiplicity 2)

Summary:
- electronic total energy (eV/atom) = -3.241
- offset from the most stable computed form (eV per formula unit) = 0.588
- formation enthalpy at 0 K (kJ/mol of formula units) = 54


14.
First-principles (PBE) data for Ac4HoMg after structural relaxation, as listed in the Alexandria database.

Unit cell a=3.964 b=3.964 c=14.969 alpha=90.00 beta=90.00 gamma=90.00
Space group P4/mmm (No. 123)
Unique sites:
Ac  0.000  0.000  0.148 (multiplicity 2)
Ac  0.500  0.500  0.334 (multiplicity 2)
Ho  0.000  0.000  0.500 (multiplicity 1)
Mg  0.500  0.500  0.000 (multiplicity 1)

Summary:
- electronic total energy (eV/atom) = -3.762
- formation enthalpy at 0 K (kJ/mol of formula units) = 4


15.
First-principles (PBE) data for AcHoMg17 after structural relaxation, as listed in the Alexandria database.

Unit cell a=10.3289 b=10.3289 c=15.3000 alpha=90.00 beta=90.00 gamma=120.00
Space group R3m (No. 160, hexagonal axes)
Unique sites:
Ac  0.0000  0.0000  0.0000 (multiplicity 3)
Ho  0.0000  0.0000  0.3379 (multiplicity 3)
Mg  0.0000  0.0000  0.5651 (multiplicity 3)
Mg  0.0000  0.0000  0.7617 (multiplicity 3)
Mg  0.0348  0.3639  0.3329 (multiplicity 18)
Mg  0.1688  0.3375  0.1501 (multiplicity 9)
Mg  0.1698  0.3396  0.5014 (multiplicity 9)
Mg  0.1757  0.3515  0.8472 (multiplicity 9)

Summary:
- electronic total energy (eV/atom) = -1.926
- formation enthalpy at 0 K (kJ/mol of formula units) = -77